[1]
The following is a PBE calculation of a relaxed Ho2PaAg crystal, from the Alexandria database.

Lattice parameters (Å, degrees): 3.224 3.224 34.370 90.00 90.00 120.00
Positions (direct):
1 Ho 0.000 0.000 0.093
2 Ho 0.000 0.000 0.907
3 Ho 0.333 0.667 0.574
4 Ho 0.333 0.667 0.760
5 Ho 0.667 0.333 0.240
6 Ho 0.667 0.333 0.426
7 Pa 0.000 0.000 0.000
8 Pa 0.333 0.667 0.667
9 Pa 0.667 0.333 0.333
10 Ag 0.000 0.000 0.500
11 Ag 0.333 0.667 0.167
12 Ag 0.667 0.333 0.833

**Crystal system**: trigonal
**SG**: R-3m (166)
**Energy relative to the elements**: 249 meV/atom
**DFT total energy**: -61.5 eV/cell
**Total moment**: 0.00 Bohr magnetons per cell
**Energy relative to the lowest polymorph listed for this composition**: 292.7 meV per atom



[2]
The following is a PBE calculation of a relaxed Ho2PaAg crystal, from the Alexandria database.

Lattice parameters (Å, degrees): 5.483 5.483 3.378 90.00 90.00 90.00
Positions (direct):
1 Ho 0.000 0.500 0.000
2 Ho 0.500 0.000 0.000
3 Pa 0.000 0.000 0.500
4 Ag 0.500 0.500 0.500

**Crystal system**: tetragonal
**SG**: P4/mmm (123)
**Energy relative to the elements**: 121 meV/atom
**DFT total energy**: -21.0 eV/cell
**Total moment**: 0.00 Bohr magnetons per cell
**Energy relative to the lowest polymorph listed for this composition**: 164.7 meV per atom



[3]
The following is a PBE calculation of a relaxed HoPaAg crystal, from the Alexandria database.

Lattice parameters (Å, degrees): 3.314 3.314 28.078 90.00 90.00 90.00
Positions (direct):
1 Ho 0.000 0.000 0.121
2 Ho 0.000 0.000 0.879
3 Ho 0.500 0.500 0.379
4 Ho 0.500 0.500 0.621
5 Pa 0.000 0.000 0.291
6 Pa 0.000 0.000 0.709
7 Pa 0.500 0.500 0.209
8 Pa 0.500 0.500 0.791
9 Ag 0.000 0.000 0.451
10 Ag 0.000 0.000 0.549
11 Ag 0.500 0.500 0.049
12 Ag 0.500 0.500 0.951

**Crystal system**: tetragonal
**SG**: I4/mmm (139)
**Energy relative to the elements**: 66 meV/atom
**DFT total energy**: -66.9 eV/cell
**Total moment**: 0.00 Bohr magnetons per cell



[4]
The following is a PBE calculation of a relaxed Ho2PaAg crystal, from the Alexandria database.

Lattice parameters (Å, degrees): 3.451 3.451 8.590 90.00 90.00 90.00
Positions (direct):
1 Ho 0.000 0.000 0.229
2 Ho 0.000 0.000 0.771
3 Pa 0.500 0.500 0.500
4 Ag 0.500 0.500 0.000

**Crystal system**: tetragonal
**SG**: P4/mmm (123)
**Energy relative to the elements**: -44 meV/atom
**DFT total energy**: -21.7 eV/cell
**Total moment**: 0.00 Bohr magnetons per cell
**Energy relative to the lowest polymorph listed for this composition**: 0.0 meV per atom



[5]
The following is a PBE calculation of a relaxed HoPaAgPb crystal, from the Alexandria database.

Lattice parameters (Å, degrees): 7.500 7.500 7.500 90.00 90.00 90.00
Positions (direct):
1 Ho 0.000 0.000 0.000
2 Ho 0.000 0.500 0.500
3 Ho 0.500 0.000 0.500
4 Ho 0.500 0.500 0.000
5 Pa 0.000 0.000 0.500
6 Pa 0.000 0.500 0.000
7 Pa 0.500 0.000 0.000
8 Pa 0.500 0.500 0.500
9 Ag 0.250 0.250 0.750
10 Ag 0.250 0.750 0.250
11 Ag 0.750 0.250 0.250
12 Ag 0.750 0.750 0.750
13 Pb 0.250 0.250 0.250
14 Pb 0.250 0.750 0.750
15 Pb 0.750 0.250 0.750
16 Pb 0.750 0.750 0.250

**Crystal system**: cubic
**SG**: F-43m (216)
**Energy relative to the elements**: 38 meV/atom
**DFT total energy**: -81.9 eV/cell
**Total moment**: 10.57 Bohr magnetons per cell



[6]
The following is a PBE calculation of a relaxed HoPaAgPt crystal, from the Alexandria database.

Lattice parameters (Å, degrees): 7.116 7.116 7.116 90.00 90.00 90.00
Positions (direct):
1 Ho 0.000 0.000 0.000
2 Ho 0.000 0.500 0.500
3 Ho 0.500 0.000 0.500
4 Ho 0.500 0.500 0.000
5 Pa 0.000 0.000 0.500
6 Pa 0.000 0.500 0.000
7 Pa 0.500 0.000 0.000
8 Pa 0.500 0.500 0.500
9 Ag 0.250 0.250 0.750
10 Ag 0.250 0.750 0.250
11 Ag 0.750 0.250 0.250
12 Ag 0.750 0.750 0.750
13 Pt 0.250 0.250 0.250
14 Pt 0.250 0.750 0.750
15 Pt 0.750 0.250 0.750
16 Pt 0.750 0.750 0.250

**Crystal system**: cubic
**SG**: F-43m (216)
**Energy relative to the elements**: -423 meV/atom
**DFT total energy**: -98.6 eV/cell
**Total moment**: 3.74 Bohr magnetons per cell